(i)
## TlSeBr2 (meta-GGA SCAN)

Data for TlSeBr2 at its PBEsol-relaxed geometry.

a b c (Å): 3.242 5.652 6.838
angles (deg): 90.00 90.00 90.00
Atoms (fractional coordinates):
Br 0.000 0.000 0.947
Br 0.500 0.500 0.254
Se 0.000 0.000 0.611
Tl 0.500 0.500 0.688

Properties
space-group type: No. 25
mass density: 5.9 g/cm3
size of the total moment: 0.0 μB per formula unit

---

(ii)
## TlSeBr2 (meta-GGA SCAN)

Data for TlSeBr2 at its PBEsol-relaxed geometry.

a b c (Å): 4.495 4.111 7.412
angles (deg): 90.00 90.00 123.15
Atoms (fractional coordinates):
Br 0.000 0.000 0.722
Br 0.000 0.000 0.278
Se 0.500 0.000 0.500
Tl 0.500 0.000 0.000

Properties
space-group type: No. 65
mass density: 6.4 g/cm3
size of the total moment: 0.0 μB per formula unit

---

Short version: (i) is the most stable of them.

---

(i)
## WSeBr (meta-GGA SCAN)

Data for WSeBr at its PBEsol-relaxed geometry.

a b c (Å): 4.508 4.508 4.508
angles (deg): 60.00 60.00 60.00
Atoms (fractional coordinates):
Br 0.750 0.750 0.750
Se 0.000 0.000 0.000
W 0.500 0.500 0.500

Properties
space-group type: No. 216
mass density: 8.8 g/cm3
size of the total moment: 3.0 μB per formula unit

---

(ii)
## WSeBr (meta-GGA SCAN)

Data for WSeBr at its PBEsol-relaxed geometry.

a b c (Å): 3.187 3.187 7.489
angles (deg): 102.29 102.29 90.00
Atoms (fractional coordinates):
Br 0.973 0.973 0.946
Se 0.221 0.221 0.442
W 0.806 0.806 0.612

Properties
space-group type: No. 107
mass density: 7.8 g/cm3
size of the total moment: 0.0 μB per formula unit

---

Short version: (ii) is the most stable of them.

---

(i)
## ZrSeBr2 (meta-GGA SCAN)

Data for ZrSeBr2 at its PBEsol-relaxed geometry.

a b c (Å): 3.557 3.929 7.704
angles (deg): 104.78 90.00 90.00
Atoms (fractional coordinates):
Br 0.000 0.215 0.430
Br 0.500 0.531 0.062
Se 0.000 0.905 0.811
Zr 0.500 0.354 0.709

Properties
space-group type: No. 38
mass density: 5.3 g/cm3
size of the total moment: 0.0 μB per formula unit

---

(ii)
## ZrSeBr2 (meta-GGA SCAN)

Data for ZrSeBr2 at its PBEsol-relaxed geometry.

a b c (Å): 4.482 4.482 5.173
angles (deg): 115.68 115.68 90.00
Atoms (fractional coordinates):
Br 0.750 0.250 0.500
Br 0.250 0.750 0.500
Se 0.500 0.500 0.000
Zr 0.000 0.000 0.000

Properties
space-group type: No. 139
mass density: 6.7 g/cm3
size of the total moment: 0.0 μB per formula unit

---

(iii)
## ZrSeBr2 (meta-GGA SCAN)

Data for ZrSeBr2 at its PBEsol-relaxed geometry.

a b c (Å): 3.238 5.358 5.358
angles (deg): 111.97 90.00 90.00
Atoms (fractional coordinates):
Br 0.000 0.500 0.000
Br 0.000 0.000 0.500
Se 0.500 0.000 0.000
Zr 0.500 0.500 0.500

Properties
space-group type: No. 65
mass density: 6.4 g/cm3
size of the total moment: 0.0 μB per formula unit

---

Short version: (i) is the most stable of them.

---

(i)
## Zr2SeBr (meta-GGA SCAN)

Data for Zr2SeBr at its PBEsol-relaxed geometry.

a b c (Å): 3.518 3.518 9.186
angles (deg): 78.96 78.96 60.00
Atoms (fractional coordinates):
Br 0.486 0.486 0.541
Se 0.267 0.267 0.200
Zr 0.995 0.995 0.014
Zr 0.752 0.752 0.745

Properties
space-group type: No. 160
mass density: 5.9 g/cm3
size of the total moment: 0.5 μB per formula unit

---

(ii)
## Zr2SeBr (meta-GGA SCAN)

Data for Zr2SeBr at its PBEsol-relaxed geometry.

a b c (Å): 3.410 4.327 5.878
angles (deg): 90.00 92.64 90.00
Atoms (fractional coordinates):
Br 0.500 0.500 0.500
Se 0.000 0.500 0.000
Zr 0.270 0.000 0.219
Zr 0.730 0.000 0.781

Properties
space-group type: No. 10
mass density: 6.5 g/cm3
size of the total moment: 0.0 μB per formula unit

---

Short version: (i) is the most stable of them.

---

(i)
## ZrSe2Br (meta-GGA SCAN)

Data for ZrSe2Br at its PBEsol-relaxed geometry.

a b c (Å): 3.558 4.337 5.226
angles (deg): 90.00 90.00 90.00
Atoms (fractional coordinates):
Br 0.000 0.500 0.500
Se 0.000 0.000 0.000
Se 0.500 0.500 0.000
Zr 0.500 0.000 0.500

Properties
space-group type: No. 47
mass density: 6.8 g/cm3
size of the total moment: 0.0 μB per formula unit

---

(ii)
## ZrSe2Br (meta-GGA SCAN)

Data for ZrSe2Br at its PBEsol-relaxed geometry.

a b c (Å): 3.380 4.887 4.887
angles (deg): 90.00 90.00 90.00
Atoms (fractional coordinates):
Br 0.500 0.000 0.000
Se 0.000 0.000 0.500
Se 0.000 0.500 0.000
Zr 0.500 0.500 0.500

Properties
space-group type: No. 123
mass density: 6.8 g/cm3
size of the total moment: 0.0 μB per formula unit

---

Short version: (i) is the most stable of them.

---

(i)
## SiBr (meta-GGA SCAN)

Data for SiBr at its PBEsol-relaxed geometry.

a b c (Å): 3.889 5.746 5.668
angles (deg): 102.49 110.06 90.00
Atoms (fractional coordinates):
Si 0.240 0.388 0.481
Si 0.760 0.612 0.519
Br 0.600 0.810 0.201
Br 0.400 0.190 0.799

Properties
space-group type: No. 12
mass density: 3.1 g/cm3
size of the total moment: 0.0 μB per formula unit

---

(ii)
## SiBr (meta-GGA SCAN)

Data for SiBr at its PBEsol-relaxed geometry.

a b c (Å): 3.861 3.861 7.786
angles (deg): 75.64 75.64 60.00
Atoms (fractional coordinates):
Si 0.683 0.683 0.952
Si 0.317 0.317 0.048
Br 0.096 0.096 0.712
Br 0.904 0.904 0.288

Properties
space-group type: No. 166
mass density: 3.7 g/cm3
size of the total moment: 0.0 μB per formula unit

---

Short version: (i) is the most stable of them.

---

(i)
## TaSiBr2 (meta-GGA SCAN)

Data for TaSiBr2 at its PBEsol-relaxed geometry.

a b c (Å): 3.145 5.222 5.584
angles (deg): 117.61 105.95 90.84
Atoms (fractional coordinates):
Br 0.000 0.000 0.500
Br 0.500 0.500 0.500
Si 0.500 0.500 0.000
Ta 0.000 0.000 0.000

Properties
space-group type: No. 12
mass density: 7.9 g/cm3
size of the total moment: 0.6 μB per formula unit

---

(ii)
## TaSiBr2 (meta-GGA SCAN)

Data for TaSiBr2 at its PBEsol-relaxed geometry.

a b c (Å): 3.173 3.173 9.698
angles (deg): 80.58 80.58 60.00
Atoms (fractional coordinates):
Si 0.500 0.500 0.500
Br 0.913 0.913 0.260
Br 0.087 0.087 0.740
Ta 0.000 0.000 0.000

Properties
space-group type: No. 166
mass density: 7.4 g/cm3
size of the total moment: 0.0 μB per formula unit

---

Short version: (ii) is the most stable of them.

---

(i)
## Si2TcBr (meta-GGA SCAN)

Data for Si2TcBr at its PBEsol-relaxed geometry.

a b c (Å): 2.883 4.486 5.865
angles (deg): 112.48 104.23 90.00
Atoms (fractional coordinates):
Br 0.000 0.500 0.000
Si 0.802 0.802 0.603
Si 0.198 0.198 0.397
Tc 0.500 0.000 0.000

Properties
space-group type: No. 71
mass density: 5.8 g/cm3
size of the total moment: 0.0 μB per formula unit

---

(ii)
## Si2TcBr (meta-GGA SCAN)

Data for Si2TcBr at its PBEsol-relaxed geometry.

a b c (Å): 2.979 2.979 8.935
angles (deg): 80.40 80.40 60.00
Atoms (fractional coordinates):
Br 0.233 0.233 0.301
Si 0.016 0.016 0.951
Si 0.758 0.758 0.726
Tc 0.493 0.493 0.521

Properties
space-group type: No. 160
mass density: 5.8 g/cm3
size of the total moment: 0.0 μB per formula unit

---

Short version: (ii) is the most stable of them.

---

(i)
## Si2TcBr (meta-GGA SCAN)

Data for Si2TcBr at its PBEsol-relaxed geometry.

a b c (Å): 5.809 5.809 6.942
angles (deg): 114.73 114.73 90.00
Atoms (fractional coordinates):
Si 0.306 0.875 0.250
Si 0.944 0.375 0.250
Si 0.125 0.056 0.750
Si 0.625 0.694 0.750
Tc 0.250 0.750 0.500
Tc 0.000 0.000 0.000
Br 0.750 0.250 0.500
Br 0.500 0.500 0.000

Properties
space-group type: No. 122
mass density: 4.1 g/cm3
size of the total moment: 0.0 μB per formula unit

---

(ii)
## Si2TcBr (meta-GGA SCAN)

Data for Si2TcBr at its PBEsol-relaxed geometry.

a b c (Å): 3.982 3.982 4.746
angles (deg): 114.81 114.81 90.00
Atoms (fractional coordinates):
Br 0.000 0.000 0.000
Si 0.750 0.250 0.500
Si 0.250 0.750 0.500
Tc 0.500 0.500 0.000

Properties
space-group type: No. 139
mass density: 6.4 g/cm3
size of the total moment: 0.0 μB per formula unit

---

(iii)
## Si2TcBr (meta-GGA SCAN)

Data for Si2TcBr at its PBEsol-relaxed geometry.

a b c (Å): 3.419 3.947 5.785
angles (deg): 95.11 90.00 90.00
Atoms (fractional coordinates):
Br 0.500 0.339 0.743
Si 0.000 0.022 0.191
Si 0.500 0.612 0.146
Tc 0.000 0.526 0.419

Properties
space-group type: No. 6
mass density: 5.0 g/cm3
size of the total moment: 0.0 μB per formula unit

---

(iv)
## Si2TcBr (meta-GGA SCAN)

Data for Si2TcBr at its PBEsol-relaxed geometry.

a b c (Å): 2.754 4.802 4.802
angles (deg): 90.00 90.00 90.00
Atoms (fractional coordinates):
Br 0.500 0.000 0.000
Si 0.000 0.000 0.500
Si 0.000 0.500 0.000
Tc 0.500 0.500 0.500

Properties
space-group type: No. 123
mass density: 6.1 g/cm3
size of the total moment: 0.0 μB per formula unit

---

Short version: (iii) is the most stable of them.

---

(i)
## SiTcBr (meta-GGA SCAN)

Data for SiTcBr at its PBEsol-relaxed geometry.

a b c (Å): 2.933 3.722 6.361
angles (deg): 107.01 103.33 90.00
Atoms (fractional coordinates):
Si 0.244 0.244 0.488
Tc 0.777 0.777 0.554
Br 0.979 0.979 0.958

Properties
space-group type: No. 44
mass density: 5.3 g/cm3
size of the total moment: 0.0 μB per formula unit

---

(ii)
## SiTcBr (meta-GGA SCAN)

Data for SiTcBr at its PBEsol-relaxed geometry.

a b c (Å): 4.275 4.275 4.275
angles (deg): 60.00 60.00 60.00
Atoms (fractional coordinates):
Si 0.000 0.000 0.000
Tc 0.500 0.500 0.500
Br 0.250 0.250 0.250

Properties
space-group type: No. 216
mass density: 6.2 g/cm3
size of the total moment: 2.0 μB per formula unit

---

(iii)
## SiTcBr (meta-GGA SCAN)

Data for SiTcBr at its PBEsol-relaxed geometry.

a b c (Å): 3.057 3.057 6.355
angles (deg): 97.18 97.18 118.73
Atoms (fractional coordinates):
Si 0.318 0.318 0.637
Tc 0.677 0.677 0.353
Br 0.005 0.005 0.010

Properties
space-group type: No. 42
mass density: 6.8 g/cm3
size of the total moment: 0.0 μB per formula unit

---

Short version: (i) is the most stable of them.

---

(i)
## SiTcBr2 (meta-GGA SCAN)

Data for SiTcBr2 at its PBEsol-relaxed geometry.

a b c (Å): 3.081 3.926 7.616
angles (deg): 104.94 101.67 90.00
Atoms (fractional coordinates):
Br 0.850 0.850 0.700
Br 0.150 0.150 0.300
Si 0.000 0.500 0.000
Tc 0.500 0.000 0.000

Properties
space-group type: No. 71
mass density: 5.5 g/cm3
size of the total moment: 0.0 μB per formula unit

---

(ii)
## SiTcBr2 (meta-GGA SCAN)

Data for SiTcBr2 at its PBEsol-relaxed geometry.

a b c (Å): 4.605 4.605 4.605
angles (deg): 60.00 60.00 60.00
Atoms (fractional coordinates):
Br 0.250 0.250 0.250
Br 0.750 0.750 0.750
Si 0.000 0.000 0.000
Tc 0.500 0.500 0.500

Properties
space-group type: No. 225
mass density: 6.9 g/cm3
size of the total moment: 0.0 μB per formula unit

---

Short version: (i) is the most stable of them.

---

(i)
## SiTe2Br (meta-GGA SCAN)

Data for SiTe2Br at its PBEsol-relaxed geometry.

a b c (Å): 6.787 6.787 6.787
angles (deg): 103.14 112.73 112.73
Atoms (fractional coordinates):
Si 0.000 0.500 0.500
Si 0.500 0.250 0.750
Te 0.064 0.875 0.439
Te 0.936 0.375 0.811
Te 0.436 0.561 0.625
Te 0.564 0.189 0.125
Br 0.000 0.000 0.000
Br 0.500 0.750 0.250

Properties
space-group type: No. 122
mass density: 5.1 g/cm3
size of the total moment: 0.0 μB per formula unit

---

(ii)
## SiTe2Br (meta-GGA SCAN)

Data for SiTe2Br at its PBEsol-relaxed geometry.

a b c (Å): 3.972 5.282 5.637
angles (deg): 90.00 108.74 90.00
Atoms (fractional coordinates):
Si 0.180 0.500 0.864
Te 0.021 0.000 0.957
Te 0.821 0.500 0.196
Br 0.477 0.000 0.483

Properties
space-group type: No. 6
mass density: 5.4 g/cm3
size of the total moment: 0.0 μB per formula unit

---

(iii)
## SiTe2Br (meta-GGA SCAN)

Data for SiTe2Br at its PBEsol-relaxed geometry.

a b c (Å): 3.625 5.494 5.759
angles (deg): 104.85 108.34 90.00
Atoms (fractional coordinates):
Si 0.000 0.500 0.000
Te 0.311 0.332 0.622
Te 0.689 0.668 0.378
Br 0.500 0.000 0.000

Properties
space-group type: No. 12
mass density: 5.8 g/cm3
size of the total moment: 0.0 μB per formula unit

---

Short version: (i) is the most stable of them.

---

(i)
## Si2TeBr (meta-GGA SCAN)

Data for Si2TeBr at its PBEsol-relaxed geometry.

a b c (Å): 3.524 4.768 5.987
angles (deg): 113.47 107.12 90.00
Atoms (fractional coordinates):
Si 0.065 0.065 0.129
Si 0.747 0.247 0.493
Te 0.453 0.453 0.906
Br 0.236 0.736 0.471

Properties
space-group type: No. 44
mass density: 5.0 g/cm3
size of the total moment: 0.0 μB per formula unit

---

(ii)
## Si2TeBr (meta-GGA SCAN)

Data for Si2TeBr at its PBEsol-relaxed geometry.

a b c (Å): 4.964 4.964 4.964
angles (deg): 106.99 110.73 110.73
Atoms (fractional coordinates):
Si 0.500 0.500 0.000
Si 0.500 0.000 0.500
Te 0.000 0.500 0.500
Br 0.000 0.000 0.000

Properties
space-group type: No. 139
mass density: 4.7 g/cm3
size of the total moment: 0.0 μB per formula unit

---

Short version: (i) is the most stable of them.